1.
K2SrGaI5: relaxed, PBE-GGA.

The structure in CIF format:
```
data_K2SrGaI5
_chemical_formula_sum 'K8 Sr4 Ga4 I20'
_cell_length_a 4.902
_cell_length_b 20.673
_cell_length_c 16.531
_cell_angle_alpha 90.00
_cell_angle_beta 90.00
_cell_angle_gamma 90.00
_space_group_name_H-M_alt 'C m c 21'
_space_group_IT_number 36
_space_group_name_Hall 'C 2c -2'
loop_
_atom_site_label
_atom_site_fract_x
_atom_site_fract_y
_atom_site_fract_z
_atom_site_occupancy
K1 0.000 0.079 0.000 1
K2 0.000 0.126 0.650 1
Sr1 0.000 0.235 0.382 1
Ga1 0.000 0.447 0.797 1
I1 0.000 0.081 0.418 1
I2 0.000 0.252 0.019 1
I3 0.000 0.289 0.750 1
I4 0.000 0.390 0.341 1
I5 0.000 0.498 0.116 1
```

Summary:
- energy relative to the elements, uncorrected (meV/atom) = -1276.9
- calculated volume (A^3/atom) = 46.5
- E (eV/atom) = -2.905

=====

2.
KTaGaI2: relaxed, PBE-GGA.

The structure in CIF format:
```
data_KTaGaI2
_chemical_formula_sum 'K1 Ta1 Ga1 I2'
_cell_length_a 5.454
_cell_length_b 5.454
_cell_length_c 7.055
_cell_angle_alpha 90.00
_cell_angle_beta 90.00
_cell_angle_gamma 90.00
_space_group_name_H-M_alt 'P 4/m m m'
_space_group_IT_number 123
_space_group_name_Hall '-P 4 2'
loop_
_atom_site_label
_atom_site_fract_x
_atom_site_fract_y
_atom_site_fract_z
_atom_site_occupancy
K1 0.000 0.000 0.000 1
Ta1 0.000 0.000 0.500 1
Ga1 0.500 0.500 0.000 1
I1 0.000 0.500 0.500 1
```

Summary:
- energy relative to the elements, uncorrected (meV/atom) = 671.2
- calculated volume (A^3/atom) = 42.0
- E (eV/atom) = -3.144

=====

3.
K2TbGaI6: relaxed, PBE-GGA.

The structure in CIF format:
```
data_K2TbGaI6
_chemical_formula_sum 'K6 Tb3 Ga3 I18'
_cell_length_a 8.5520
_cell_length_b 8.5520
_cell_length_c 21.8336
_cell_angle_alpha 90.00
_cell_angle_beta 90.00
_cell_angle_gamma 120.00
_space_group_name_H-M_alt 'R 3'
_space_group_IT_number 146
_space_group_name_Hall 'R 3'
loop_
_atom_site_label
_atom_site_fract_x
_atom_site_fract_y
_atom_site_fract_z
_atom_site_occupancy
K1 0.0000 0.0000 0.0000 1
K2 0.0000 0.0000 0.4916 1
Tb1 0.0000 0.0000 0.7005 1
Ga1 0.0000 0.0000 0.2060 1
I1 0.0123 0.4053 0.4452 1
I2 0.0722 0.7148 0.2828 1
```

Summary:
- energy relative to the elements, uncorrected (meV/atom) = -1217.4
- calculated volume (A^3/atom) = 46.1
- E (eV/atom) = -3.133

=====

4.
KTbGa2I6: relaxed, PBE-GGA.

The structure in CIF format:
```
data_KTbGa2I6
_chemical_formula_sum 'K3 Tb3 Ga6 I18'
_cell_length_a 8.2781
_cell_length_b 8.2781
_cell_length_c 22.5026
_cell_angle_alpha 90.00
_cell_angle_beta 90.00
_cell_angle_gamma 120.00
_space_group_name_H-M_alt 'R 3'
_space_group_IT_number 146
_space_group_name_Hall 'R 3'
loop_
_atom_site_label
_atom_site_fract_x
_atom_site_fract_y
_atom_site_fract_z
_atom_site_occupancy
K1 0.0000 0.0000 0.0000 1
Tb1 0.0000 0.0000 0.4903 1
Ga1 0.0000 0.0000 0.3048 1
Ga2 0.0000 0.0000 0.8120 1
I1 0.0139 0.3175 0.5623 1
I2 0.0288 0.7253 0.4040 1
```

Summary:
- energy relative to the elements, uncorrected (meV/atom) = -988.6
- calculated volume (A^3/atom) = 44.5
- E (eV/atom) = -3.097